Record 1
Here is a geometry-optimized YB structure from Alexandria via LeMat-Bulk. Energies are from PBE.

Structure (POSCAR):
```
YB
1.0
-4.268 7.783 2.868
-1.949 -8.161 4.076
2.372 0.508 2.152
Y B
6 6
Direct
0.796 0.205 0.250
0.591 0.796 0.750
0.795 0.591 0.250
0.204 0.795 0.750
0.409 0.204 0.250
0.205 0.409 0.750
0.485 0.967 0.250
0.517 0.485 0.750
0.033 0.517 0.250
0.515 0.033 0.750
0.483 0.515 0.250
0.967 0.483 0.750
```

## Properties
The value obtained for the total DFT energy (no corrections) is -6.708 eV/atom. As for the energy above the most stable polymorph in this dataset: 51 kJ/mol of formula units. As for the symmetry: P6_3/m.

***

Record 2
Here is a geometry-optimized YB4 structure from Alexandria via LeMat-Bulk. Energies are from PBE.

Structure (POSCAR):
```
YB4
1.0
7.114 0.000 0.000
0.000 7.114 0.000
0.000 0.000 4.025
Y B
4 16
Direct
0.182 0.682 0.000
0.682 0.818 0.000
0.318 0.182 0.000
0.818 0.318 0.000
0.324 0.461 0.500
0.676 0.539 0.500
0.539 0.324 0.500
0.461 0.676 0.500
0.000 0.000 0.203
0.500 0.500 0.797
0.000 0.000 0.797
0.500 0.500 0.203
0.587 0.087 0.500
0.087 0.413 0.500
0.913 0.587 0.500
0.413 0.913 0.500
0.039 0.176 0.500
0.176 0.961 0.500
0.824 0.039 0.500
0.961 0.824 0.500
```

## Properties
The value obtained for the total DFT energy (no corrections) is -7.221 eV/atom. As for the energy above the most stable polymorph in this dataset: 0 kJ/mol of formula units. As for the symmetry: P4/mbm.

***

Record 3
Here is a geometry-optimized YB structure from Alexandria via LeMat-Bulk. Energies are from PBE.

Structure (POSCAR):
```
YB
1.0
3.679 0.000 0.002
0.038 3.992 -0.005
1.811 0.564 4.719
Y B
2 2
Direct
0.141 0.723 0.223
0.859 0.277 0.777
0.567 0.144 0.362
0.433 0.856 0.638
```

## Properties
The value obtained for the total DFT energy (no corrections) is -6.754 eV/atom. As for the energy above the most stable polymorph in this dataset: 42 kJ/mol of formula units. As for the symmetry: P-1.

***

Record 4
Here is a geometry-optimized YB structure from Alexandria via LeMat-Bulk. Energies are from PBE.

Structure (POSCAR):
```
YB
1.0
9.693 0.000 0.000
0.000 9.693 0.000
0.000 0.000 3.256
Y B
8 8
Direct
0.761 0.500 0.000
0.239 0.500 0.000
0.500 0.239 0.000
0.500 0.761 0.000
0.261 0.000 0.500
0.739 0.000 0.500
0.000 0.739 0.500
0.000 0.261 0.500
0.230 0.230 0.000
0.230 0.770 0.000
0.770 0.230 0.000
0.770 0.770 0.000
0.730 0.730 0.500
0.730 0.270 0.500
0.270 0.730 0.500
0.270 0.270 0.500
```

## Properties
The value obtained for the total DFT energy (no corrections) is -6.837 eV/atom. As for the energy above the most stable polymorph in this dataset: 26 kJ/mol of formula units. As for the symmetry: I4/mmm.

***

Record 5
Here is a geometry-optimized YZnB3 structure from Alexandria via LeMat-Bulk. Energies are from PBE.

Structure (POSCAR):
```
YZnB3
1.0
4.680 0.000 0.000
0.000 4.680 0.000
0.000 0.000 4.680
Y Zn B
1 1 3
Direct
0.000 0.000 0.000
0.500 0.500 0.500
0.000 0.500 0.000
0.000 0.000 0.500
0.500 0.000 0.000
```

## Properties
The value obtained for the total DFT energy (no corrections) is -3.277 eV/atom. As for the energy above the most stable polymorph in this dataset: 596 kJ/mol of formula units. As for the symmetry: Pm-3m.

***

Record 6
Here is a geometry-optimized YZnB3 structure from Alexandria via LeMat-Bulk. Energies are from PBE.

Structure (POSCAR):
```
YZnB3
1.0
4.072 0.000 0.000
0.000 4.072 0.000
0.000 0.000 4.072
Y Zn B
1 1 3
Direct
0.500 0.500 0.500
0.000 0.000 0.000
0.000 0.500 0.000
0.000 0.000 0.500
0.500 0.000 0.000
```

## Properties
The value obtained for the total DFT energy (no corrections) is -4.512 eV/atom. As for the energy above the most stable polymorph in this dataset: 0 kJ/mol of formula units. As for the symmetry: Pm-3m.

***

Record 7
Here is a geometry-optimized Y3ZrB structure from Alexandria via LeMat-Bulk. Energies are from PBE.

Structure (POSCAR):
```
Y3ZrB
1.0
5.444 0.000 0.000
0.000 5.444 0.000
0.000 0.000 5.444
Y B Zr
3 1 1
Direct
0.000 0.500 0.000
0.000 0.000 0.500
0.500 0.000 0.000
0.500 0.500 0.500
0.000 0.000 0.000
```

## Properties
The value obtained for the total DFT energy (no corrections) is -5.382 eV/atom. As for the energy above the most stable polymorph in this dataset: 640 kJ/mol of formula units. As for the symmetry: Pm-3m.

***

Record 8
Here is a geometry-optimized YZr3B structure from Alexandria via LeMat-Bulk. Energies are from PBE.

Structure (POSCAR):
```
YZr3B
1.0
-1.848 -0.181 4.785
3.152 -3.907 1.070
3.604 3.324 1.518
Y B Zr
1 1 3
Direct
0.000 0.000 0.000
0.500 0.500 0.500
0.000 0.500 0.000
0.000 0.000 0.500
0.500 0.000 0.000
```

## Properties
The value obtained for the total DFT energy (no corrections) is -5.468 eV/atom. As for the energy above the most stable polymorph in this dataset: 1115 kJ/mol of formula units. As for the symmetry: Pm-3m.

***

Record 9
Here is a geometry-optimized YZr3B structure from Alexandria via LeMat-Bulk. Energies are from PBE.

Structure (POSCAR):
```
YZr3B
1.0
-0.720 0.697 -4.704
2.286 -4.121 -0.961
-4.170 -2.379 0.285
Y B Zr
1 1 3
Direct
0.500 0.500 0.500
0.000 0.000 0.000
0.000 0.500 0.000
0.000 0.000 0.500
0.500 0.000 0.000
```

## Properties
The value obtained for the total DFT energy (no corrections) is -7.779 eV/atom. As for the energy above the most stable polymorph in this dataset: 0 kJ/mol of formula units. As for the symmetry: Pm-3m.

***

Record 10
Here is a geometry-optimized Y2ZrB structure from Alexandria via LeMat-Bulk. Energies are from PBE.

Structure (POSCAR):
```
Y2ZrB
1.0
9.330 0.000 0.000
0.000 9.330 0.000
4.665 4.665 2.340
Y B Zr
4 2 2
Direct
0.484 0.125 0.250
0.266 0.625 0.250
0.375 0.516 0.750
0.875 0.734 0.750
0.500 0.500 0.000
0.250 0.750 0.500
0.000 0.000 0.000
0.750 0.250 0.500
```

## Properties
The value obtained for the total DFT energy (no corrections) is -6.755 eV/atom. As for the symmetry: I-42d.

***

Record 11
Here is a geometry-optimized YZrB2 structure from Alexandria via LeMat-Bulk. Energies are from PBE.

Structure (POSCAR):
```
YZrB2
1.0
0.000 3.122 3.122
3.122 0.000 3.122
3.122 3.122 0.000
Y B Zr
1 2 1
Direct
0.000 0.000 0.000
0.250 0.250 0.250
0.750 0.750 0.750
0.500 0.500 0.500
```

## Properties
The value obtained for the total DFT energy (no corrections) is -6.834 eV/atom. As for the energy above the most stable polymorph in this dataset: 0 kJ/mol of formula units. As for the symmetry: Fm-3m.

***

Record 12
Here is a geometry-optimized Y3ZrB structure from Alexandria via LeMat-Bulk. Energies are from PBE.

Structure (POSCAR):
```
Y3ZrB
1.0
5.095 0.000 0.000
0.000 5.095 0.000
0.000 0.000 5.095
Y B Zr
3 1 1
Direct
0.000 0.500 0.000
0.000 0.000 0.500
0.500 0.000 0.000
0.000 0.000 0.000
0.500 0.500 0.500
```

## Properties
The value obtained for the total DFT energy (no corrections) is -6.709 eV/atom. As for the energy above the most stable polymorph in this dataset: 0 kJ/mol of formula units. As for the symmetry: Pm-3m.